Density functional theory data (GGA-PBEsol) for Ca2BeSbTe after structural relaxation.

a = 5.7480 Å, b = 5.7480 Å, c = 4.5799 Å
α = 90.00°, β = 90.00°, γ = 90.00°
Closest atoms and distances in Å follow each position.
Positions (direct):
Ca: 0.0000 0.5000 0.0000  2 Te 2.87
Ca: 0.5000 0.0000 0.0000  2 Te 2.87
Be: 0.0000 0.0000 0.5000  2 Te 2.29
Sb: 0.5000 0.5000 0.5000  8 Ca 3.67, 4 Be 4.06
Te: 0.0000 0.0000 0.0000  2 Be 2.29

Output
uncorrected formation energy	-181	meV/atom
final energy	-3.4510	eV/atom